# 1
HfThCd: optimized geometry, PBE.

Output
ΔE to the lowest computed polymorph: 275 meV per atom
Energy relative to the elements: 0.298 eV per atom

Cell lengths 3.250, 5.612, 8.828 Å; angles 90.00, 90.00, 90.00 degrees
Space group Pmmn (No. 59, origin choice 2)
Symmetry-distinct sites (fractional):
Hf  0.250  0.250  0.244
Th  0.250  0.750  0.430
Cd  0.250  0.750  0.058

=====

# 2
CaNpPd14: optimized geometry, PBE.

Output
Energy relative to the elements: -0.250 eV per atom

Cell lengths 5.786, 5.786, 7.849 Å; angles 90.00, 90.00, 90.00 degrees
Space group P4/mmm (No. 123)
Symmetry-distinct sites (fractional):
Ca  0.000  0.000  0.000
Np  0.500  0.500  0.000
Pd  0.000  0.000  0.500
Pd  0.000  0.500  0.000
Pd  0.000  0.500  0.500
Pd  0.254  0.254  0.256
Pd  0.500  0.500  0.500

=====

# 3
La2Sb: optimized geometry, PBE.

Output
Formation energy from raw total energies: -0.595 eV per atom

Cell lengths 7.733, 7.733, 7.733 Å; angles 90.00, 90.00, 90.00 degrees
Space group Pa-3 (No. 205)
Symmetry-distinct sites (fractional):
La  0.140  0.140  0.140
Sb  0.000  0.000  0.500

=====

# 4
Y3ErCo: optimized geometry, PBE.

Output
ΔE to the lowest computed polymorph: 113 meV per atom
Energy relative to the elements: 0.010 eV per atom

Cell lengths 5.285, 5.285, 5.285 Å; angles 90.00, 90.00, 90.00 degrees
Space group Pm-3m (No. 221)
Symmetry-distinct sites (fractional):
Y  0.000  0.000  0.500
Er  0.500  0.500  0.500
Co  0.000  0.000  0.000

=====

What did we get for V? Answer: 26.83 16.42 38.53 29.52 Å³ per atom, in the order shown.
What did we get for magnetic moment? Answer: 0.00 2.12 1.44 0.00 μB per formula unit, in the order shown.